Entry 1:
Here is a geometry-optimized ScGaO2 structure from Alexandria. Energies are from PBE.

Output
The calculation puts the total energy at -6.985 eV per atom. For the uncorrected formation energy, the calculation gives -2166 meV per atom.

a b c (Å): 5.553 5.553 9.032
angles (deg): 90.00 90.00 90.00
Space group I-42d (No. 122)
Inequivalent atoms, fractional coordinates:
Sc 0.000 0.000 0.000
Ga 0.000 0.000 0.500
O 0.160 0.250 0.125

=====

Entry 2:
Here is a geometry-optimized ScGaO2 structure from Alexandria. Energies are from PBE.

Output
The calculation puts the total energy at -7.217 eV per atom. For the uncorrected formation energy, the calculation gives -2399 meV per atom.

a b c (Å): 3.1078 3.1078 18.8672
angles (deg): 90.00 90.00 120.00
Space group R-3m (No. 166, hexagonal axes)
Inequivalent atoms, fractional coordinates:
Sc 0.0000 0.0000 0.0000
Ga 0.0000 0.0000 0.5000
O 0.0000 0.0000 0.3910

=====

Entry 3:
Here is a geometry-optimized Sc6Ga2O structure from Alexandria. Energies are from PBE.

Output
The calculation puts the total energy at -6.411 eV per atom. As for the excess energy over the best structure of this formula in the dataset: 0.0000 eV/atom. For the uncorrected formation energy, the calculation gives -966 meV per atom.

a b c (Å): 8.783 8.783 8.783
angles (deg): 90.00 90.00 90.00
Space group Fm-3m (No. 225)
Inequivalent atoms, fractional coordinates:
Sc 0.000 0.000 0.249
Ga 0.250 0.250 0.250
O 0.000 0.000 0.000

=====

Entry 4:
Here is a geometry-optimized Sc3GaO6 structure from Alexandria. Energies are from PBE.

Output
The calculation puts the total energy at -8.289 eV per atom. As for the excess energy over the best structure of this formula in the dataset: 0.0000 eV/atom. For the uncorrected formation energy, the calculation gives -3112 meV per atom.

a b c (Å): 8.8545 8.8545 10.3388
angles (deg): 90.00 90.00 120.00
Space group R-3 (No. 148, hexagonal axes)
Inequivalent atoms, fractional coordinates:
Sc 0.0418 0.2671 0.2064
Ga 0.0000 0.0000 0.0000
Ga 0.0000 0.0000 0.5000
O 0.0255 0.2090 0.4008
O 0.0273 0.1866 0.8779

=====

Entry 5:
Here is a geometry-optimized Sc2GaO structure from Alexandria. Energies are from PBE.

Output
The calculation puts the total energy at -6.711 eV per atom. As for the excess energy over the best structure of this formula in the dataset: 0.0000 eV/atom. For the uncorrected formation energy, the calculation gives -1549 meV per atom.

a b c (Å): 3.106 2.992 14.363
angles (deg): 90.00 90.00 90.00
Space group Amm2 (No. 38)
Inequivalent atoms, fractional coordinates:
Sc 0.000 0.000 0.000
Sc 0.500 0.000 0.317
Ga 0.500 0.000 0.638
O 0.000 0.000 0.850

=====

Entry 6:
Here is a geometry-optimized Sc4GaSiO structure from Alexandria. Energies are from PBE.

Output
The calculation puts the total energy at -6.799 eV per atom. For the uncorrected formation energy, the calculation gives -1266 meV per atom.

a b c (Å): 5.930 14.625 5.927
angles (deg): 90.00 90.00 90.00
Space group Cmcm (No. 63)
Inequivalent atoms, fractional coordinates:
Sc 0.000 0.079 0.250
Sc 0.000 0.419 0.250
Sc 0.250 0.250 0.000
Ga 0.000 0.389 0.750
Si 0.000 0.113 0.750
O 0.000 0.251 0.250

=====

Entry 7:
Here is a geometry-optimized ScGaSiO2 structure from Alexandria. Energies are from PBE.

Output
The calculation puts the total energy at -5.822 eV per atom. For the uncorrected formation energy, the calculation gives -883 meV per atom.

a b c (Å): 3.687 3.687 4.922
angles (deg): 90.00 90.00 90.00
Space group P4/mmm (No. 123)
Inequivalent atoms, fractional coordinates:
Sc 0.000 0.000 0.000
Ga 0.500 0.500 0.000
Si 0.500 0.500 0.500
O 0.000 0.500 0.500

=====

Entry 8:
Here is a geometry-optimized Sm2ScGaO structure from Alexandria. Energies are from PBE.

Output
The calculation puts the total energy at -6.167 eV per atom. For the uncorrected formation energy, the calculation gives -1416 meV per atom.

a b c (Å): 4.885 4.885 4.343
angles (deg): 90.00 90.00 90.00
Space group P4/mmm (No. 123)
Inequivalent atoms, fractional coordinates:
Sm 0.000 0.500 0.000
Sc 0.000 0.000 0.500
Ga 0.500 0.500 0.500
O 0.000 0.000 0.000

=====

Entry 9:
Here is a geometry-optimized Sc4GaSnO structure from Alexandria. Energies are from PBE.

Output
The calculation puts the total energy at -6.586 eV per atom. For the uncorrected formation energy, the calculation gives -1255 meV per atom.

a b c (Å): 6.038 15.103 6.045
angles (deg): 90.00 90.00 90.00
Space group Cmcm (No. 63)
Inequivalent atoms, fractional coordinates:
Sc 0.000 0.078 0.250
Sc 0.000 0.410 0.250
Sc 0.250 0.250 0.000
Ga 0.000 0.114 0.750
Sn 0.000 0.395 0.750
O 0.000 0.251 0.250

=====

Entry 10:
Here is a geometry-optimized SrSc4Ga3O12 structure from Alexandria. Energies are from PBE.

Output
The calculation puts the total energy at -7.388 eV per atom. For the uncorrected formation energy, the calculation gives -2609 meV per atom.

a b c (Å): 7.799 7.799 7.799
angles (deg): 90.00 90.00 90.00
Space group Im-3 (No. 204)
Inequivalent atoms, fractional coordinates:
Sr 0.000 0.000 0.000
Sc 0.250 0.250 0.250
Ga 0.000 0.000 0.500
O 0.000 0.167 0.318

=====

Entry 11:
Here is a geometry-optimized Sr2ScGaO structure from Alexandria. Energies are from PBE.

Output
The calculation puts the total energy at -4.756 eV per atom. For the uncorrected formation energy, the calculation gives -1220 meV per atom.

a b c (Å): 5.431 5.431 4.174
angles (deg): 90.00 90.00 90.00
Space group P4/mmm (No. 123)
Inequivalent atoms, fractional coordinates:
Sr 0.000 0.500 0.000
Sc 0.000 0.000 0.500
Ga 0.500 0.500 0.500
O 0.000 0.000 0.000

=====

Entry 12:
Here is a geometry-optimized SrScGaO4 structure from Alexandria. Energies are from PBE.

Output
The calculation puts the total energy at -7.053 eV per atom. For the uncorrected formation energy, the calculation gives -2643 meV per atom.

a b c (Å): 5.599 5.658 6.784
angles (deg): 90.00 109.17 90.00
Space group P2_1/m (No. 11)
Inequivalent atoms, fractional coordinates:
Sr 0.224 0.250 0.450
Sc 0.322 0.250 0.973
Ga 0.226 0.750 0.162
O 0.024 0.250 0.090
O 0.025 0.750 0.329
O 0.479 0.515 0.198